[1]
# NpU2Tl2Se6 | Alexandria via LeMat-Bulk | PBE | relaxed
data_NpU2Tl2Se6
_chemical_formula_sum 'Np2 U4 Tl4 Se12'
_cell_length_a 7.200
_cell_length_b 12.475
_cell_length_c 8.206
_cell_angle_alpha 90.00
_cell_angle_beta 106.85
_cell_angle_gamma 90.00
_space_group_name_H-M_alt 'C 1 2/m 1'
_space_group_IT_number 12
loop_
_space_group_symop_operation_xyz
'x,y,z'
'-x,-y,-z'
'-x,y,-z'
'x,-y,z'
'x+1/2,y+1/2,z'
'-x+1/2,-y+1/2,-z'
'-x+1/2,y+1/2,-z'
'x+1/2,-y+1/2,z'
loop_
_atom_site_label
_atom_site_type_symbol
_atom_site_fract_x
_atom_site_fract_y
_atom_site_fract_z
Np1 Np 0.000 0.000 0.000
U1 U 0.000 0.334 0.000
Tl1 Tl 0.000 0.166 0.500
Se1 Se 0.231 0.500 0.203
Se2 Se 0.235 0.169 0.203
# Magnetization in μB/cell: 18.00
# Formation energy (no corrections) in eV per atom: -0.981
# Crystal system: monoclinic
# Energy in eV/atom: -6.54

[2]
# CsK2Hg | Alexandria via LeMat-Bulk | PBE | relaxed
data_CsK2Hg
_chemical_formula_sum 'Cs2 K4 Hg2'
_cell_length_a 5.615
_cell_length_b 11.481
_cell_length_c 7.810
_cell_angle_alpha 90.00
_cell_angle_beta 111.17
_cell_angle_gamma 90.00
_space_group_name_H-M_alt 'P 1 21/m 1'
_space_group_IT_number 11
loop_
_space_group_symop_operation_xyz
'x,y,z'
'-x,-y,-z'
'-x,y+1/2,-z'
'x,-y+1/2,z'
loop_
_atom_site_label
_atom_site_type_symbol
_atom_site_fract_x
_atom_site_fract_y
_atom_site_fract_z
Cs1 Cs 0.057 0.250 0.113
K1 K 0.345 0.059 0.689
Hg1 Hg 0.238 0.750 0.477
# Magnetization in μB/cell: 0.00
# Crystal system: monoclinic
# Energy in eV/atom: -0.97

[3]
# PCl2F8 | Alexandria via LeMat-Bulk | PBE | relaxed
data_PCl2F8
_chemical_formula_sum 'P2 Cl4 F16'
_cell_length_a 11.643
_cell_length_b 5.717
_cell_length_c 5.354
_cell_angle_alpha 90.00
_cell_angle_beta 101.80
_cell_angle_gamma 90.00
_space_group_name_H-M_alt 'C 1 2/m 1'
_space_group_IT_number 12
loop_
_space_group_symop_operation_xyz
'x,y,z'
'-x,-y,-z'
'-x,y,-z'
'x,-y,z'
'x+1/2,y+1/2,z'
'-x+1/2,-y+1/2,-z'
'-x+1/2,y+1/2,-z'
'x+1/2,-y+1/2,z'
loop_
_atom_site_label
_atom_site_type_symbol
_atom_site_fract_x
_atom_site_fract_y
_atom_site_fract_z
P1 P 0.000 0.000 0.000
Cl1 Cl 0.239 0.500 0.527
F1 F 0.071 0.000 0.312
F2 F 0.088 0.199 0.936
F3 F 0.099 0.500 0.402
# Magnetization in μB/cell: 0.32
# Formation energy (no corrections) in eV per atom: -1.592
# Crystal system: monoclinic
# Energy in eV/atom: -3.78

[4]
# Pm2GePd6 | Alexandria via LeMat-Bulk | PBE | relaxed
data_Pm2GePd6
_chemical_formula_sum 'Pm4 Ge2 Pd12'
_cell_length_a 9.900
_cell_length_b 5.758
_cell_length_c 6.118
_cell_angle_alpha 90.00
_cell_angle_beta 104.01
_cell_angle_gamma 90.00
_space_group_name_H-M_alt 'C 1 2/m 1'
_space_group_IT_number 12
loop_
_space_group_symop_operation_xyz
'x,y,z'
'-x,-y,-z'
'-x,y,-z'
'x,-y,z'
'x+1/2,y+1/2,z'
'-x+1/2,-y+1/2,-z'
'-x+1/2,y+1/2,-z'
'x+1/2,-y+1/2,z'
loop_
_atom_site_label
_atom_site_type_symbol
_atom_site_fract_x
_atom_site_fract_y
_atom_site_fract_z
Pm1 Pm 0.143 0.000 0.336
Ge1 Ge 0.000 0.500 0.500
Pd1 Pd 0.126 0.500 0.199
Pd2 Pd 0.132 0.241 0.815
# E above lowest polymorph in kJ/mol of atoms: 0.5
# Magnetization in μB/cell: 0.00
# Crystal system: monoclinic
# Energy in eV/atom: -5.80

[5]
# HfZr4Pd7 | Alexandria via LeMat-Bulk | PBE | relaxed
data_HfZr4Pd7
_chemical_formula_sum 'Hf2 Zr8 Pd14'
_cell_length_a 10.836
_cell_length_b 4.952
_cell_length_c 9.922
_cell_angle_alpha 90.00
_cell_angle_beta 120.05
_cell_angle_gamma 90.00
_space_group_name_H-M_alt 'C 1 2/m 1'
_space_group_IT_number 12
loop_
_space_group_symop_operation_xyz
'x,y,z'
'-x,-y,-z'
'-x,y,-z'
'x,-y,z'
'x+1/2,y+1/2,z'
'-x+1/2,-y+1/2,-z'
'-x+1/2,y+1/2,-z'
'x+1/2,-y+1/2,z'
loop_
_atom_site_label
_atom_site_type_symbol
_atom_site_fract_x
_atom_site_fract_y
_atom_site_fract_z
Hf1 Hf 0.000 0.000 0.000
Zr1 Zr 0.092 0.500 0.777
Zr2 Zr 0.249 0.000 0.661
Pd1 Pd 0.000 0.500 0.000
Pd2 Pd 0.069 0.000 0.325
Pd3 Pd 0.136 0.500 0.531
Pd4 Pd 0.213 0.000 0.912
# Magnetization in μB/cell: 0.00
# Crystal system: monoclinic
# Energy in eV/atom: -7.21

[6]
# Ac3In2SnPd9 | Alexandria via LeMat-Bulk | PBE | relaxed
data_Ac3In2SnPd9
_chemical_formula_sum 'Ac3 In2 Sn1 Pd9'
_cell_length_a 6.9293
_cell_length_b 6.9293
_cell_length_c 9.3591
_cell_angle_alpha 90.00
_cell_angle_beta 90.00
_cell_angle_gamma 120.00
_space_group_name_H-M_alt 'P -3 m 1'
_space_group_IT_number 164
_space_group_name_Hall '-P 3 2"'
loop_
_atom_site_label
_atom_site_type_symbol
_atom_site_fract_x
_atom_site_fract_y
_atom_site_fract_z
Ac1 Ac 0.0000 0.0000 0.0000
Ac2 Ac 0.3333 0.6667 0.7350
In1 In 0.3333 0.6667 0.1901
Sn1 Sn 0.0000 0.0000 0.5000
Pd1 Pd 0.0000 0.5000 0.0000
Pd2 Pd 0.1322 0.2645 0.2745
# Magnetization in μB/cell: 0.00
# Crystal system: trigonal
# Energy in eV/atom: -5.04

Copy entry 1 word for word.
# NpU2Tl2Se6 | Alexandria via LeMat-Bulk | PBE | relaxed
data_NpU2Tl2Se6
_chemical_formula_sum 'Np2 U4 Tl4 Se12'
_cell_length_a 7.200
_cell_length_b 12.475
_cell_length_c 8.206
_cell_angle_alpha 90.00
_cell_angle_beta 106.85
_cell_angle_gamma 90.00
_space_group_name_H-M_alt 'C 1 2/m 1'
_space_group_IT_number 12
loop_
_space_group_symop_operation_xyz
'x,y,z'
'-x,-y,-z'
'-x,y,-z'
'x,-y,z'
'x+1/2,y+1/2,z'
'-x+1/2,-y+1/2,-z'
'-x+1/2,y+1/2,-z'
'x+1/2,-y+1/2,z'
loop_
_atom_site_label
_atom_site_type_symbol
_atom_site_fract_x
_atom_site_fract_y
_atom_site_fract_z
Np1 Np 0.000 0.000 0.000
U1 U 0.000 0.334 0.000
Tl1 Tl 0.000 0.166 0.500
Se1 Se 0.231 0.500 0.203
Se2 Se 0.235 0.169 0.203
# Magnetization in μB/cell: 18.00
# Formation energy (no corrections) in eV per atom: -0.981
# Crystal system: monoclinic
# Energy in eV/atom: -6.54